! TiAl2Rh2, relaxed, DFT PBE-GGA; values from VASP
! ΔE to the lowest computed polymorph	0	meV/atom
! formation energy	-771	meV per atom
! E	-67.9	eV for the cell shown
&SYSTEM
  ibrav = 0, nat = 10, ntyp = 3
/
ATOMIC_SPECIES
Al 26.98 Al.upf
Ti 47.87 Ti.upf
Rh 102.91 Rh.upf
CELL_PARAMETERS angstrom
-6.9477 -1.6048 1.3908
1.8797 -6.8614 1.4729
0.3810 0.6818 2.6900
ATOMIC_POSITIONS crystal
Al 0.8714 0.6286 0.0000
Al 0.1286 0.3714 0.0000
Al 0.6286 0.1286 0.0000
Al 0.3714 0.8714 0.0000
Ti 0.5000 0.5000 0.0000
Ti 0.0000 0.0000 0.0000
Rh 0.3309 0.1691 0.5000
Rh 0.6691 0.8309 0.5000
Rh 0.1691 0.6691 0.5000
Rh 0.8309 0.3309 0.5000